Entry from the Alexandria database: an optimized crystal structure of PtN2O2 (PBE).

```
PtN2O2
1.0
3.650 0.000 0.000
0.000 3.650 0.000
0.000 0.000 3.451
N O Pt
2 2 1
Direct
0.000 0.500 0.000 N
0.500 0.000 0.000 N
0.000 0.000 0.500 O
0.000 0.000 0.000 O
0.500 0.500 0.500 Pt
```

Raw formation energy = 2320 meV per atom
V = 46.0 Å³/f.u.
ΔE to the lowest computed polymorph = 2.565 eV per atom
Uncorrected energy = -21.01 eV per formula unit
ρ = 9.21 g/cm³

***

Entry from the Alexandria database: an optimized crystal structure of Zr5Co2Tc (PBE).

```
Zr5Co2Tc
1.0
-1.773 -0.832 -6.325
-0.670 -6.504 1.043
-5.327 4.617 4.352
Zr Tc Co
10 2 4
Direct
0.817 0.976 0.292 Zr
0.000 0.000 0.000 Zr
0.317 0.817 0.292 Zr
0.500 0.500 0.000 Zr
0.476 0.317 0.292 Zr
0.183 0.024 0.708 Zr
0.683 0.183 0.708 Zr
0.976 0.476 0.292 Zr
0.024 0.524 0.708 Zr
0.524 0.683 0.708 Zr
0.250 0.250 0.500 Tc
0.750 0.750 0.500 Tc
0.628 0.128 0.000 Co
0.128 0.372 0.000 Co
0.372 0.872 0.000 Co
0.872 0.628 0.000 Co
```

V = 149.8 Å³/f.u.
Uncorrected energy = -69.30 eV per formula unit
ρ = 7.45 g/cm³
Energy of formation = -0.2471 eV/atom

***

Entry from the Alexandria database: an optimized crystal structure of Tb4P3Cl (PBE).

```
Tb4P3Cl
1.0
-0.726 -3.642 1.512
6.712 -1.679 -0.820
3.509 1.698 5.775
P Tb Cl
3 4 1
Direct
0.000 0.000 0.000 P
0.000 0.500 0.500 P
0.500 0.000 0.500 P
0.000 0.770 0.730 Tb
0.500 0.242 0.742 Tb
0.000 0.230 0.270 Tb
0.500 0.759 0.258 Tb
0.500 0.500 0.000 Cl
```

Raw formation energy = -1637 meV per atom
V = 183.8 Å³/f.u.
Uncorrected energy = -49.69 eV per formula unit
ρ = 6.90 g/cm³

***

Entry from the Alexandria database: an optimized crystal structure of Np4P6Os7 (PBE).

```
Np4P6Os7
1.0
0.907 -6.879 -1.284
6.286 3.200 0.223
-3.280 0.825 6.193
P Np Os
6 4 7
Direct
0.312 0.000 0.312 P
0.688 0.000 0.688 P
0.688 0.688 0.000 P
0.312 0.312 0.000 P
0.000 0.312 0.312 P
0.000 0.688 0.688 P
0.500 0.000 0.000 Np
0.500 0.500 0.500 Np
0.000 0.500 0.000 Np
0.000 0.000 0.500 Np
0.250 0.500 0.750 Os
0.000 0.000 0.000 Os
0.750 0.500 0.250 Os
0.500 0.250 0.750 Os
0.750 0.250 0.500 Os
0.500 0.750 0.250 Os
0.250 0.750 0.500 Os
```

V = 270.5 Å³/f.u.
Uncorrected energy = -170.36 eV per formula unit
ρ = 15.14 g/cm³
Energy of formation = -0.4431 eV/atom